No. 1
Compound: FeAsBr4
Source: the Alexandria database
Functional: GGA-PBE
Structure: optimized geometry

## Properties
Its total energy is -2.10 eV per atom. The magnetization is 1.58 μB per formula unit. As for the space-group type: F-43m. The calculation puts the density of states at the Fermi level at 11.599 states/eV per cell.

a b c (Å): 6.1755 6.1755 6.1755
angles (deg): 60.00 60.00 60.00
With the nearest neighbours (Å) after each atom.
Fractional coordinates of all 6 atoms:
1 Fe 0.7500 0.7500 0.7500  12 Br 3.62, 4 As 3.78
2 Br 0.3761 0.3761 0.8717  6 Br 3.06-3.11
3 Br 0.3761 0.8717 0.3761  6 Br 3.06-3.11
4 Br 0.8717 0.3761 0.3761  6 Br 3.06-3.11
5 Br 0.3761 0.3761 0.3761  6 Br 3.06-3.11
6 As 0.0000 0.0000 0.0000  12 Br 3.62, 4 Fe 3.78

No. 2
Compound: Cs4Cd3Au2
Source: the Alexandria database
Functional: GGA-PBE
Structure: optimized geometry

## Properties
Its total energy is -1.58 eV per atom. The magnetization is 0.05 μB per formula unit. As for the space-group type: C2/m. The calculation puts the density of states at the Fermi level at 4.707 states/eV per cell. Its calculated formation energy is -1.5 eV/f.u.

a b c (Å): 4.8179 8.9416 10.0262
angles (deg): 107.00 103.90 90.00
With the nearest neighbours (Å) after each atom.
Fractional coordinates of all 9 atoms:
1 Au 0.5927 0.4523 0.1853  4 Cd 2.90-3.11
2 Au 0.4073 0.5477 0.8147  4 Cd 2.90-3.11
3 Cs 0.2331 0.6890 0.4662  3 Au 3.78-3.96, 3 Cd 3.88-4.05
4 Cs 0.7669 0.3110 0.5338  3 Au 3.78-3.96, 3 Cd 3.88-4.05
5 Cs 0.4277 0.1328 0.8554  2 Au 3.60-3.85, 4 Cd 3.94-3.97
6 Cs 0.5723 0.8672 0.1446  2 Au 3.60-3.85, 4 Cd 3.94-3.97
7 Cd 0.9048 0.7272 0.8095  2 Au 2.90, 1 Cd 3.14
8 Cd 0.0000 0.5000 0.0000  4 Au 3.11, 2 Cd 3.14
9 Cd 0.0952 0.2728 0.1905  2 Au 2.90, 1 Cd 3.14

No. 3
Compound: BaSi2Ru
Source: the Alexandria database
Functional: GGA-PBE
Structure: optimized geometry

## Properties
Its total energy is -4.81 eV per atom. The magnetization is 0.00 μB per formula unit. As for the space-group type: P4/mmm. The calculation puts the density of states at the Fermi level at 3.188 states/eV per cell.

a b c (Å): 4.1657 4.1645 4.7673
angles (deg): 90.00 90.00 90.00
With the nearest neighbours (Å) after each atom.
Fractional coordinates of all 4 atoms:
1 Ru 0.0000 0.5000 0.5000  4 Ba 2.95, 8 Si 3.17
2 Si 0.0000 0.0000 0.0000  4 Si 2.95, 4 Ru 3.17, 4 Ba 3.17
3 Si 0.5000 0.5000 0.0000  4 Si 2.95, 4 Ba 3.17, 4 Ru 3.17
4 Ba 0.5000 0.0000 0.5000  4 Ru 2.95, 8 Si 3.17

No. 4
Compound: Tb3BeNi3
Source: the Alexandria database
Functional: GGA-PBE
Structure: optimized geometry

## Properties
Its total energy is -5.37 eV per atom. The magnetization is 0.00 μB per formula unit. As for the space-group type: Cmcm. The calculation puts the density of states at the Fermi level at 11.752 states/eV per cell. Its calculated formation energy is -2.7 eV/f.u.

a b c (Å): 3.7709 5.3627 13.5854
angles (deg): 90.00 90.00 110.58
With the nearest neighbours (Å) after each atom.
Fractional coordinates of all 14 atoms:
1 Be 0.5000 0.0000 0.5000  4 Ni 2.27
2 Be 0.5000 0.0000 0.0000  4 Ni 2.27
3 Ni 0.0635 0.1271 0.4195  2 Be 2.27, 1 Ni 2.53
4 Ni 0.9365 0.8729 0.5805  2 Be 2.27, 1 Ni 2.53
5 Ni 0.9365 0.8729 0.9195  2 Be 2.27, 1 Ni 2.53
6 Ni 0.2069 0.4138 0.2500  2 Ni 2.72, 7 Tb 2.79-2.96
7 Ni 0.0635 0.1271 0.0805  2 Be 2.27, 1 Ni 2.53
8 Ni 0.7931 0.5862 0.7500  2 Ni 2.72, 7 Tb 2.79-2.96
9 Tb 0.2206 0.4412 0.6051  6 Ni 2.82-2.97, 1 Be 3.15
10 Tb 0.4983 0.9965 0.7500  7 Ni 2.79-3.04
11 Tb 0.2206 0.4412 0.8949  6 Ni 2.82-2.97, 1 Be 3.15
12 Tb 0.5017 0.0035 0.2500  7 Ni 2.79-3.04
13 Tb 0.7794 0.5588 0.1051  6 Ni 2.82-2.97, 1 Be 3.15
14 Tb 0.7794 0.5588 0.3949  6 Ni 2.82-2.97, 1 Be 3.15

No. 5
Compound: Ti2PdS
Source: the Alexandria database
Functional: GGA-PBE
Structure: optimized geometry

## Properties
Its total energy is -7.05 eV per atom. The magnetization is 0.00 μB per formula unit. As for the space-group type: R3m. The calculation puts the density of states at the Fermi level at 4.081 states/eV per cell.

a b c (Å): 3.3707 3.3707 6.8248
angles (deg): 75.70 75.70 60.00
With the nearest neighbours (Å) after each atom.
Fractional coordinates of all 4 atoms:
1 S 0.6669 0.6669 0.9993  6 Ti 2.39
2 Ti 0.2628 0.2628 0.2115  3 S 2.39
3 Ti 0.0708 0.0708 0.7875  3 S 2.39
4 Pd 0.4994 0.4994 0.5017  6 Ti 2.70-2.72

No. 6
Compound: KSnB
Source: the Alexandria database
Functional: GGA-PBE
Structure: optimized geometry

## Properties
Its total energy is -3.73 eV per atom. The magnetization is 0.00 μB per formula unit. As for the space-group type: Pmmm. The calculation puts the density of states at the Fermi level at 1.077 states/eV per cell. Its calculated formation energy is 0.6 eV/f.u.

a b c (Å): 5.6370 6.9577 3.9008
angles (deg): 90.00 90.00 90.00
With the nearest neighbours (Å) after each atom.
Fractional coordinates of all 6 atoms:
1 K 0.5000 0.0000 0.5000  8 Sn 3.71, 4 B 3.87, 6 K 3.90-3.99
2 K 0.5000 0.5000 0.0000  4 Sn 3.49, 8 B 3.52, 2 K 3.90
3 B 0.0000 0.3820 0.5000  1 B 1.64
4 B 0.0000 0.6180 0.5000  1 B 1.64
5 Sn 0.0000 0.2051 0.0000  2 B 2.31
6 Sn 0.0000 0.7949 0.0000  2 B 2.31